# 1
ReBN2O: optimized geometry, PBE-GGA.

Output
Its total energy is -7.21 eV/atom. The calculation puts the density of states at the Fermi level at 1.31 states/eV/f.u.

abc: 3.8846 3.8846 3.8731
angles: 90.00 90.00 90.00
Atoms (fractional coordinates):
Re  0.0000  0.0000  0.0000
B  0.5000  0.5000  0.5000
O  0.0000  0.0000  0.5000
N  0.0000  0.5000  0.0000
N  0.5000  0.0000  0.0000

# 2
Li6Mg2Rh: optimized geometry, PBE-GGA.

Output
The value obtained for the formation energy from the elements is -0.10 eV per atom. The calculation puts the density of states at the Fermi level at 3.73 states/eV/f.u.

abc: 3.1424 8.0071 8.0071
angles: 124.39 85.72 85.72
Atoms (fractional coordinates):
Li  0.8466  0.4983  0.1703
Li  0.1534  0.5017  0.8297
Li  0.6306  0.7070  0.7070
Li  0.8466  0.1703  0.4983
Li  0.1534  0.8297  0.5017
Li  0.3694  0.2930  0.2930
Mg  0.5000  0.8492  0.1508
Mg  0.5000  0.1508  0.8492
Rh  0.0000  0.0000  0.0000

# 3
NdDy5Er2: optimized geometry, PBE-GGA.

Output
The value obtained for the formation energy from the elements is 0.18 eV per atom. The energy above the most stable polymorph in this dataset comes out at 163 meV per atom. The calculation puts the density of states at the Fermi level at 12.56 states/eV/f.u.

abc: 8.8016 8.4725 11.2274
angles: 90.00 90.00 38.67
Atoms (fractional coordinates):
Nd  0.4993  0.8461  0.7500
Nd  0.5007  0.1539  0.2500
Dy  0.6634  0.0457  0.9238
Dy  0.6634  0.0457  0.5762
Dy  0.1971  0.6831  0.4249
Dy  0.1971  0.6831  0.0751
Dy  0.7701  0.3141  0.2500
Dy  0.2299  0.6859  0.7500
Dy  0.8029  0.3169  0.5751
Dy  0.8029  0.3169  0.9249
Dy  0.3366  0.9543  0.0762
Dy  0.3366  0.9543  0.4238
Er  0.8910  0.5739  0.3830
Er  0.8910  0.5739  0.1170
Er  0.1090  0.4261  0.6170
Er  0.1090  0.4261  0.8830

# 4
EuLuAs2: optimized geometry, PBE-GGA.

Output
The value obtained for the formation energy from the elements is -1.28 eV per atom. The calculation puts the density of states at the Fermi level at 8.89 states/eV/f.u.

abc: 4.1493 4.1493 7.2459
angles: 73.36 73.36 60.00
Each line ends with the local moment (μB).
Atoms (fractional coordinates):
Eu  0.5000  0.5000  0.5000  6.62
As  0.2557  0.2557  0.2329  -0.08
As  0.7443  0.7443  0.7671  -0.08
Lu  0.0000  0.0000  0.0000  -0.06

# 5
TcPt5: optimized geometry, PBE-GGA.

Output
The value obtained for the formation energy from the elements is 0.38 eV per atom. The energy above the most stable polymorph in this dataset comes out at 496 meV per atom. The calculation puts the density of states at the Fermi level at 4.93 states/eV/f.u.

abc: 5.2094 5.2094 4.5390
angles: 90.00 90.00 120.00
Each line ends with the local moment (μB).
Atoms (fractional coordinates):
Tc  0.0000  0.0000  0.0000  3.30
Pt  0.0000  0.5000  0.5000  0.12
Pt  0.3333  0.6667  0.0000  0.10
Pt  0.5000  0.0000  0.5000  0.12
Pt  0.5000  0.5000  0.5000  0.12
Pt  0.6667  0.3333  0.0000  0.10

# 6
MgPaNbTc: optimized geometry, PBE-GGA.

Output
The value obtained for the formation energy from the elements is 0.07 eV per atom. The calculation puts the density of states at the Fermi level at 4.33 states/eV/f.u.

abc: 4.7179 4.7179 4.7179
angles: 60.00 60.00 60.00
Atoms (fractional coordinates):
Mg  0.0000  0.0000  0.0000
Nb  0.7500  0.7500  0.7500
Pa  0.5000  0.5000  0.5000
Tc  0.2500  0.2500  0.2500

# 7
La2SnP3Ir4: optimized geometry, PBE-GGA.

Output
The value obtained for the formation energy from the elements is -0.83 eV per atom. The calculation puts the density of states at the Fermi level at 4.99 states/eV/f.u.

abc: 4.1465 4.1465 10.6688
angles: 90.00 90.00 90.00
Atoms (fractional coordinates):
La  0.5000  0.0000  0.2404
La  0.0000  0.5000  0.7596
Sn  0.5000  0.5000  0.5000
P  0.0000  0.0000  0.5000
P  0.5000  0.0000  0.8724
P  0.0000  0.5000  0.1276
Ir  0.5000  0.5000  0.0000
Ir  0.0000  0.0000  0.0000
Ir  0.5000  0.0000  0.6553
Ir  0.0000  0.5000  0.3447

# 8
TlTe2F11: optimized geometry, PBE-GGA.

Output
Its total energy is -4.08 eV/atom.

abc: 9.0477 8.7333 8.7333
angles: 69.60 58.80 58.80
Atoms (fractional coordinates):
Tl  0.7500  0.7500  0.7500
Tl  0.2500  0.2500  0.2500
Te  0.6433  0.6814  0.3186
Te  0.3567  0.3186  0.6814
Te  0.8567  0.1814  0.8186
Te  0.1433  0.8186  0.1814
F  0.6169  0.7079  0.5442
F  0.3831  0.2921  0.4558
F  0.1310  0.5442  0.7079
F  0.8831  0.9558  0.7921
F  0.8690  0.4558  0.2921
F  0.1169  0.0442  0.2079
F  0.3690  0.7921  0.9558
F  0.6310  0.2079  0.0442
F  0.5000  0.5000  0.5000
F  0.0000  0.0000  0.0000
F  0.8198  0.7877  0.2123
F  0.1802  0.2123  0.7877
F  0.6802  0.2877  0.7123
F  0.3198  0.7123  0.2877
F  0.4369  0.9775  0.3004
F  0.5631  0.0225  0.6996
F  0.2852  0.3004  0.9775
F  0.0631  0.1996  0.5225
F  0.7148  0.6996  0.0225
F  0.9369  0.8004  0.4775
F  0.2148  0.5225  0.1996
F  0.7852  0.4775  0.8004